(1)
Entry from Alexandria: a relaxed structure of Mg5Ga4Ge (PBE).

Unit cell a=3.061 b=3.061 c=20.400 alpha=90.00 beta=90.00 gamma=90.00
Positions (direct):
Ga (0.000, 0.000, 0.803)
Mg (0.500, 0.500, 0.903)
Ga (0.000, 0.000, 0.197)
Mg (0.500, 0.500, 0.097)
Mg (0.500, 0.500, 0.298)
Ga (0.000, 0.000, 0.399)
Mg (0.500, 0.500, 0.500)
Ge (0.000, 0.000, 0.000)
Ga (0.000, 0.000, 0.601)
Mg (0.500, 0.500, 0.702)

Calculated values
* formation enthalpy at 0 K: -0.1282 eV per atom
* crystal system: tetragonal
* energy: -2.598 eV/atom
* DOS at the Fermi energy: 0.448 states/eV per atom

(2)
Entry from Alexandria: a relaxed structure of ZrTeSI2 (PBE).

Unit cell a=5.748 b=5.748 c=5.624 alpha=90.00 beta=90.00 gamma=90.00
Last column: magnetic moment on the atom in μB.
Positions (direct):
S (0.500, 0.500, 0.500)  0.98
Te (0.000, 0.000, 0.500)  0.12
I (0.500, 0.000, 0.000)  0.04
I (0.000, 0.500, 0.000)  0.04
Zr (0.000, 0.000, 0.000)  0.07

Calculated values
* crystal system: tetragonal
* raw formation energy: 0.08 eV per atom
* energy: -3.702 eV/atom
* E above lowest polymorph: 0.0 meV/atom
* DOS at the Fermi energy: 0.918 states/eV per atom

(3)
Entry from Alexandria: a relaxed structure of ThMg2Sc2 (PBE).

Unit cell a=3.889 b=3.889 c=9.382 alpha=101.96 beta=101.96 gamma=90.00
Positions (direct):
Sc (0.394, 0.394, 0.789)
Sc (0.606, 0.606, 0.211)
Mg (0.250, 0.750, 0.500)
Mg (0.750, 0.250, 0.500)
Th (0.000, 0.000, 0.000)

Calculated values
* formation enthalpy at 0 K: 0.3337 eV per atom
* crystal system: tetragonal
* energy: -4.321 eV/atom
* E above lowest polymorph: 279.1 meV/atom
* DOS at the Fermi energy: 1.332 states/eV per atom

(4)
Entry from Alexandria: a relaxed structure of HfHgH2 (PBE).

Unit cell a=4.418 b=4.418 c=6.375 alpha=69.73 beta=69.73 gamma=90.00
Positions (direct):
Hf (0.500, 0.500, 0.000)
H (0.260, 0.625, 0.250)
H (0.375, 0.510, 0.750)
Hf (0.250, 0.750, 0.500)
H (0.490, 0.125, 0.250)
H (0.875, 0.740, 0.750)
Hg (0.000, 0.000, 0.000)
Hg (0.750, 0.250, 0.500)

Calculated values
* crystal system: tetragonal
* energy: -4.202 eV/atom
* E above lowest polymorph: 277.6 meV/atom
* DOS at the Fermi energy: 0.445 states/eV per atom

(5)
Entry from Alexandria: a relaxed structure of OsAuSN2 (PBE).

Unit cell a=3.719 b=3.719 c=7.533 alpha=90.00 beta=90.00 gamma=90.00
Last column: magnetic moment on the atom in μB.
Positions (direct):
N (0.000, 0.500, 0.000)  0.24
S (0.000, 0.000, 0.500)  0.12
Os (0.500, 0.500, 0.500)  2.14
N (0.500, 0.000, 0.000)  0.24
Au (0.000, 0.000, 0.000)  0.06

Calculated values
* crystal system: tetragonal
* raw formation energy: 2.45 eV per atom
* energy: -4.608 eV/atom
* E above lowest polymorph: 1713.4 meV/atom
* DOS at the Fermi energy: 1.024 states/eV per atom

(6)
Entry from Alexandria: a relaxed structure of Mg3ReSe (PBE).

Unit cell a=5.121 b=5.121 c=5.121 alpha=90.00 beta=90.00 gamma=90.00
Last column: magnetic moment on the atom in μB.
Positions (direct):
Se (0.500, 0.500, 0.500)  0.11
Re (0.000, 0.000, 0.000)  1.32
Mg (0.500, 0.000, 0.000)  -0.01
Mg (0.000, 0.000, 0.500)  -0.01
Mg (0.000, 0.500, 0.000)  -0.01

Calculated values
* crystal system: cubic
* raw formation energy: 0.95 eV per atom
* energy: -3.191 eV/atom
* E above lowest polymorph: 88.7 meV/atom
* DOS at the Fermi energy: 1.336 states/eV per atom

(7)
Entry from Alexandria: a relaxed structure of PaAsPd (PBE).

Unit cell a=4.098 b=4.099 c=7.152 alpha=90.00 beta=90.00 gamma=90.00
Positions (direct):
Pa (0.750, 0.250, 0.831)
As (0.750, 0.250, 0.242)
Pd (0.750, 0.750, 0.500)
As (0.250, 0.750, 0.758)
Pa (0.250, 0.750, 0.169)
Pd (0.250, 0.250, 0.500)

Calculated values
* formation enthalpy at 0 K: -0.7710 eV per atom
* crystal system: tetragonal
* energy: -7.217 eV/atom
* DOS at the Fermi energy: 0.894 states/eV per atom

(8)
Entry from Alexandria: a relaxed structure of SrCd (PBE).

Unit cell a=4.037 b=4.100 c=4.032 alpha=90.04 beta=90.00 gamma=90.00
Positions (direct):
Sr (0.000, 0.495, 0.004)
Cd (0.500, 0.996, 0.505)

Calculated values
* formation enthalpy at 0 K: -0.3326 eV per atom
* crystal system: tetragonal
* energy: -1.631 eV/atom
* DOS at the Fermi energy: 0.730 states/eV per atom

(9)
Entry from Alexandria: a relaxed structure of Pt2AuSe (PBE).

Unit cell a=2.830 b=4.991 c=4.892 alpha=90.00 beta=90.00 gamma=90.00
Positions (direct):
Pt (0.000, 0.000, 0.000)
Se (0.500, 0.000, 0.500)
Pt (0.500, 0.500, 0.000)
Au (0.000, 0.500, 0.500)

Calculated values
* crystal system: orthorhombic
* raw formation energy: 0.24 eV per atom
* energy: -4.467 eV/atom
* DOS at the Fermi energy: 0.902 states/eV per atom

(10)
Entry from Alexandria: a relaxed structure of RbAl2CuTe4 (PBE).

Unit cell a=6.334 b=8.266 c=8.266 alpha=45.01 beta=67.47 gamma=67.47
Positions (direct):
Rb (0.000, 0.000, 0.000)
Al (0.250, 0.250, 0.250)
Al (0.750, 0.750, 0.750)
Te (0.851, 0.563, 0.149)
Te (0.437, 0.149, 0.563)
Te (0.563, 0.437, 0.851)
Te (0.149, 0.851, 0.437)
Cu (0.500, 0.500, 0.500)

Calculated values
* crystal system: tetragonal
* raw formation energy: -0.34 eV per atom
* energy: -3.479 eV/atom
* DOS at the Fermi energy: 0.865 states/eV per atom

(11)
Entry from Alexandria: a relaxed structure of LaHfBiW2 (PBE).

Unit cell a=4.878 b=5.777 c=4.878 alpha=90.00 beta=90.00 gamma=90.00
Positions (direct):
Bi (0.500, 0.500, 0.500)
La (0.000, 0.500, 0.000)
Hf (0.000, 0.000, 0.000)
W (0.000, 0.000, 0.500)
W (0.500, 0.000, 0.000)

Calculated values
* formation enthalpy at 0 K: 1.5475 eV per atom
* crystal system: tetragonal
* energy: -7.386 eV/atom
* DOS at the Fermi energy: 1.065 states/eV per atom

(12)
Entry from Alexandria: a relaxed structure of KLaRh2 (PBE).

Unit cell a=5.354 b=5.354 c=9.612 alpha=73.83 beta=73.83 gamma=90.00
Positions (direct):
K (0.500, 0.500, 0.000)
Rh (0.942, 0.625, 0.250)
Rh (0.808, 0.125, 0.250)
K (0.250, 0.750, 0.500)
La (0.750, 0.250, 0.500)
La (0.000, 0.000, 0.000)
Rh (0.375, 0.192, 0.750)
Rh (0.875, 0.058, 0.750)

Calculated values
* formation enthalpy at 0 K: 0.2367 eV per atom
* crystal system: tetragonal
* energy: -4.945 eV/atom
* E above lowest polymorph: 348.9 meV/atom
* DOS at the Fermi energy: 0.003 states/eV per atom

(13)
Entry from Alexandria: a relaxed structure of BaCo3Ge3 (PBE).

Unit cell a=6.326 b=6.326 c=8.787 alpha=68.90 beta=68.90 gamma=60.00
Last column: magnetic moment on the atom in μB.
Positions (direct):
Ge (0.821, 0.212, 0.312)  -0.02
Ge (0.654, 0.821, 0.312)  -0.02
Ge (0.179, 0.788, 0.688)  -0.02
Ba (0.322, 0.322, 0.033)  0.00
Ba (0.678, 0.678, 0.967)  0.00
Co (0.427, 0.213, 0.398)  0.74
Co (0.213, 0.961, 0.398)  0.74
Ge (0.788, 0.346, 0.688)  -0.02
Co (0.573, 0.787, 0.602)  0.74
Ge (0.212, 0.654, 0.312)  -0.02
Ge (0.346, 0.179, 0.688)  -0.02
Co (0.961, 0.427, 0.398)  0.74
Co (0.039, 0.573, 0.602)  0.74
Co (0.787, 0.039, 0.602)  0.74

Calculated values
* formation enthalpy at 0 K: -0.1018 eV per atom
* crystal system: trigonal
* energy: -5.401 eV/atom
* DOS at the Fermi energy: 0.972 states/eV per atom

(14)
Entry from Alexandria: a relaxed structure of DyPuAg (PBE).

Unit cell a=3.519 b=5.502 c=7.885 alpha=92.08 beta=90.00 gamma=108.65
Last column: magnetic moment on the atom in μB.
Positions (direct):
Ag (0.712, 0.424, 0.631)  0.00
Dy (0.559, 0.117, 0.273)  0.01
Pu (0.180, 0.360, 0.973)  0.67
Ag (0.288, 0.576, 0.369)  0.00
Dy (0.441, 0.883, 0.727)  0.01
Pu (0.820, 0.640, 0.027)  0.67

Calculated values
* formation enthalpy at 0 K: 0.1750 eV per atom
* crystal system: monoclinic
* energy: -7.087 eV/atom
* E above lowest polymorph: 147.7 meV/atom
* DOS at the Fermi energy: 1.692 states/eV per atom

(15)
Entry from Alexandria: a relaxed structure of Ce2TmAs (PBE).

Unit cell a=3.852 b=3.852 c=9.584 alpha=78.41 beta=78.41 gamma=60.00
Last column: magnetic moment on the atom in μB.
Positions (direct):
Ce (0.733, 0.733, 0.800)  0.66
As (0.000, 0.000, 0.000)  -0.02
Ce (0.267, 0.267, 0.200)  0.66
Tm (0.500, 0.500, 0.500)  0.26

Calculated values
* formation enthalpy at 0 K: -0.4270 eV per atom
* crystal system: trigonal
* energy: -5.674 eV/atom
* DOS at the Fermi energy: 2.786 states/eV per atom

(16)
Entry from Alexandria: a relaxed structure of HfTaGa (PBE).

Unit cell a=3.681 b=4.942 c=6.725 alpha=101.93 beta=105.88 gamma=90.00
Positions (direct):
Hf (0.902, 0.746, 0.805)
Hf (0.098, 0.254, 0.195)
Ta (0.422, 0.255, 0.845)
Ga (0.238, 0.799, 0.476)
Ga (0.762, 0.201, 0.524)
Ta (0.578, 0.745, 0.155)

Calculated values
* formation enthalpy at 0 K: -0.1468 eV per atom
* crystal system: monoclinic
* energy: -8.424 eV/atom
* E above lowest polymorph: 26.7 meV/atom
* DOS at the Fermi energy: 0.625 states/eV per atom

(17)
Entry from Alexandria: a relaxed structure of K2Zn (PBE).

Unit cell a=4.689 b=4.689 c=8.211 alpha=90.00 beta=90.00 gamma=120.00
Positions (direct):
K (0.333, 0.667, 0.730)
Zn (0.000, 0.000, 0.000)
K (0.667, 0.333, 0.270)

Calculated values
* formation enthalpy at 0 K: 0.1836 eV per atom
* crystal system: trigonal
* energy: -0.973 eV/atom
* E above lowest polymorph: 100.7 meV/atom
* DOS at the Fermi energy: 0.854 states/eV per atom

(18)
Entry from Alexandria: a relaxed structure of Sc2BeGa3 (PBE).

Unit cell a=3.314 b=4.160 c=7.280 alpha=90.00 beta=90.00 gamma=90.00
Positions (direct):
Sc (0.000, 0.500, 0.008)
Sc (0.000, 0.000, 0.495)
Ga (0.500, 0.500, 0.647)
Be (0.500, 0.500, 0.330)
Ga (0.500, 0.000, 0.837)
Ga (0.500, 0.000, 0.183)

Calculated values
* formation enthalpy at 0 K: -0.5044 eV per atom
* crystal system: orthorhombic
* energy: -4.749 eV/atom
* DOS at the Fermi energy: 0.521 states/eV per atom

(19)
Entry from Alexandria: a relaxed structure of La2NdMg2 (PBE).

Unit cell a=3.910 b=5.645 c=14.604 alpha=90.00 beta=97.72 gamma=90.00
Positions (direct):
La (0.044, 0.750, 0.089)
Nd (0.850, 0.750, 0.702)
Mg (0.446, 0.750, 0.892)
Nd (0.150, 0.250, 0.298)
La (0.236, 0.750, 0.474)
Mg (0.554, 0.250, 0.108)
Mg (0.640, 0.750, 0.281)
La (0.956, 0.250, 0.911)
Mg (0.360, 0.250, 0.719)
La (0.764, 0.250, 0.526)

Calculated values
* formation enthalpy at 0 K: -0.0749 eV per atom
* crystal system: monoclinic
* energy: -3.637 eV/atom
* DOS at the Fermi energy: 1.232 states/eV per atom

(20)
Entry from Alexandria: a relaxed structure of Pm2Tm5Co2 (PBE).

Unit cell a=6.974 b=6.945 c=10.412 alpha=90.00 beta=70.43 gamma=90.00
Positions (direct):
Co (0.886, 0.612, 0.000)
Pm (0.769, 0.000, 0.461)
Tm (0.284, 0.677, 0.793)
Tm (0.784, 0.823, 0.793)
Tm (0.423, 0.177, 0.793)
Co (0.614, 0.112, 0.000)
Pm (0.731, 0.500, 0.539)
Tm (0.577, 0.823, 0.207)
Co (0.114, 0.388, 0.000)
Tm (0.000, 0.000, 0.000)
Co (0.386, 0.888, 0.000)
Tm (0.923, 0.323, 0.793)
Tm (0.216, 0.177, 0.207)
Pm (0.269, 0.500, 0.461)
Tm (0.077, 0.677, 0.207)
Tm (0.500, 0.500, 0.000)
Tm (0.716, 0.323, 0.207)
Pm (0.231, 0.000, 0.539)

Calculated values
* formation enthalpy at 0 K: -0.1068 eV per atom
* crystal system: orthorhombic
* energy: -5.226 eV/atom
* DOS at the Fermi energy: 1.073 states/eV per atom